No. 1
A plane-wave DFT calculation with PBE was carried out for a relaxed CsSn2Br crystal.

## Properties
E_form (uncorrected) in eV per atom: 0.2366
SG: Fm-3m (225)

Geometry as CIF:
```
data_CsSn2Br
_space_group_name_H-M_alt 'P 1'
_space_group_IT_number 1
_cell_length_a 5.874
_cell_length_b 5.874
_cell_length_c 5.874
_cell_angle_alpha 60.00
_cell_angle_beta 60.00
_cell_angle_gamma 60.00
loop_
_space_group_symop_operation_xyz
'x,y,z'
loop_
_atom_site_label
_atom_site_fract_x
_atom_site_fract_y
_atom_site_fract_z
Cs1 0.000 0.000 0.000
Sn1 0.250 0.250 0.250
Sn2 0.750 0.750 0.750
Br1 0.500 0.500 0.500
```

---

No. 2
A plane-wave DFT calculation with PBE was carried out for a relaxed Rb3PmU3Se8 crystal.

## Properties
E_form (uncorrected) in eV per atom: -1.3900
SG: C2/m (12)

Geometry as CIF:
```
data_Rb3PmU3Se8
_space_group_name_H-M_alt 'P 1'
_space_group_IT_number 1
_cell_length_a 8.486
_cell_length_b 8.486
_cell_length_c 9.505
_cell_angle_alpha 116.50
_cell_angle_beta 116.50
_cell_angle_gamma 60.02
loop_
_space_group_symop_operation_xyz
'x,y,z'
loop_
_atom_site_label
_atom_site_fract_x
_atom_site_fract_y
_atom_site_fract_z
Rb1 0.000 0.000 0.000
Rb2 0.000 0.500 0.000
Rb3 0.500 0.000 0.000
Pm1 0.000 0.000 0.500
U1 0.000 0.500 0.500
U2 0.500 0.000 0.500
U3 0.500 0.500 0.500
Se1 0.234 0.725 0.695
Se2 0.235 0.235 0.695
Se3 0.268 0.268 0.304
Se4 0.275 0.766 0.305
Se5 0.725 0.234 0.695
Se6 0.732 0.732 0.696
Se7 0.765 0.765 0.305
Se8 0.766 0.275 0.305
```

---

No. 3
A plane-wave DFT calculation with PBE was carried out for a relaxed CaLaTl4 crystal.

## Properties
SG: Pmmm (47)
Excess energy over the best structure of this formula in the dataset in kJ/mol of atoms: 12.2
Formation energy from the elements in meV per atom: -150.8

Geometry as CIF:
```
data_CaLaTl4
_space_group_name_H-M_alt 'P 1'
_space_group_IT_number 1
_cell_length_a 3.805
_cell_length_b 5.806
_cell_length_c 8.713
_cell_angle_alpha 90.00
_cell_angle_beta 90.00
_cell_angle_gamma 90.00
loop_
_space_group_symop_operation_xyz
'x,y,z'
loop_
_atom_site_label
_atom_site_fract_x
_atom_site_fract_y
_atom_site_fract_z
Ca1 0.000 0.000 0.000
La1 0.500 0.500 0.500
Tl1 0.000 0.500 0.182
Tl2 0.000 0.500 0.818
Tl3 0.500 0.000 0.309
Tl4 0.500 0.000 0.691
```

---

No. 4
A plane-wave DFT calculation with PBE was carried out for a relaxed Ho2TmAg2 crystal.

## Properties
SG: P2_1/m (11)
Excess energy over the best structure of this formula in the dataset in kJ/mol of atoms: 7.9
Formation energy from the elements in meV per atom: -163.5

Geometry as CIF:
```
data_Ho2TmAg2
_space_group_name_H-M_alt 'P 1'
_space_group_IT_number 1
_cell_length_a 6.356
_cell_length_b 4.972
_cell_length_c 8.042
_cell_angle_alpha 90.00
_cell_angle_beta 95.28
_cell_angle_gamma 90.00
loop_
_space_group_symop_operation_xyz
'x,y,z'
loop_
_atom_site_label
_atom_site_fract_x
_atom_site_fract_y
_atom_site_fract_z
Ho1 0.095 0.250 0.358
Ho2 0.160 0.750 0.055
Ho3 0.840 0.250 0.945
Ho4 0.905 0.750 0.642
Tm1 0.317 0.250 0.754
Tm2 0.683 0.750 0.246
Ag1 0.368 0.750 0.522
Ag2 0.430 0.250 0.115
Ag3 0.570 0.750 0.885
Ag4 0.632 0.250 0.478
```

---

No. 5
A plane-wave DFT calculation with PBE was carried out for a relaxed LiMgGa crystal.

## Properties
SG: P3m1 (156)
Excess energy over the best structure of this formula in the dataset in kJ/mol of atoms: 1.1
Formation energy from the elements in meV per atom: -202.2

Geometry as CIF:
```
data_LiMgGa
_space_group_name_H-M_alt 'P 1'
_space_group_IT_number 1
_cell_length_a 4.535
_cell_length_b 4.535
_cell_length_c 3.031
_cell_angle_alpha 90.00
_cell_angle_beta 90.00
_cell_angle_gamma 120.00
loop_
_space_group_symop_operation_xyz
'x,y,z'
loop_
_atom_site_label
_atom_site_fract_x
_atom_site_fract_y
_atom_site_fract_z
Li1 0.000 0.000 0.000
Mg1 0.667 0.333 0.585
Ga1 0.333 0.667 0.176
```

---

No. 6
A plane-wave DFT calculation with PBE was carried out for a relaxed Pm2NdI6 crystal.

## Properties
E_form (uncorrected) in eV per atom: -1.2872
SG: P-31m (162)
Excess energy over the best structure of this formula in the dataset in kJ/mol of atoms: 0.0

Geometry as CIF:
```
data_Pm2NdI6
_space_group_name_H-M_alt 'P 1'
_space_group_IT_number 1
_cell_length_a 7.313
_cell_length_b 7.313
_cell_length_c 8.157
_cell_angle_alpha 90.00
_cell_angle_beta 90.00
_cell_angle_gamma 120.00
loop_
_space_group_symop_operation_xyz
'x,y,z'
loop_
_atom_site_label
_atom_site_fract_x
_atom_site_fract_y
_atom_site_fract_z
Pm1 0.333 0.667 0.000
Pm2 0.667 0.333 0.000
Nd1 0.000 0.000 0.000
I1 0.000 0.336 0.249
I2 0.000 0.664 0.751
I3 0.336 0.000 0.249
I4 0.336 0.336 0.751
I5 0.664 0.000 0.751
I6 0.664 0.664 0.249
```

---

No. 7
A plane-wave DFT calculation with PBE was carried out for a relaxed Fe2ReIr crystal.

## Properties
SG: I-4m2 (119)
Formation energy from the elements in meV per atom: -33.5

Geometry as CIF:
```
data_Fe2ReIr
_space_group_name_H-M_alt 'P 1'
_space_group_IT_number 1
_cell_length_a 4.596
_cell_length_b 4.596
_cell_length_c 4.596
_cell_angle_alpha 132.32
_cell_angle_beta 132.32
_cell_angle_gamma 69.72
loop_
_space_group_symop_operation_xyz
'x,y,z'
loop_
_atom_site_label
_atom_site_fract_x
_atom_site_fract_y
_atom_site_fract_z
Fe1 0.000 0.000 0.000
Fe2 0.750 0.250 0.500
Re1 0.500 0.500 0.000
Ir1 0.250 0.750 0.500
```

---

No. 8
A plane-wave DFT calculation with PBE was carried out for a relaxed KTlSe2N crystal.

## Properties
E_form (uncorrected) in eV per atom: 1.0875
SG: P4/mmm (123)
Excess energy over the best structure of this formula in the dataset in kJ/mol of atoms: 51.1

Geometry as CIF:
```
data_KTlSe2N
_space_group_name_H-M_alt 'P 1'
_space_group_IT_number 1
_cell_length_a 6.054
_cell_length_b 6.054
_cell_length_c 5.195
_cell_angle_alpha 90.00
_cell_angle_beta 90.00
_cell_angle_gamma 90.00
loop_
_space_group_symop_operation_xyz
'x,y,z'
loop_
_atom_site_label
_atom_site_fract_x
_atom_site_fract_y
_atom_site_fract_z
K1 0.000 0.000 0.000
Tl1 0.500 0.500 0.500
Se1 0.000 0.500 0.000
Se2 0.500 0.000 0.000
N1 0.000 0.000 0.500
```

---

No. 9
A plane-wave DFT calculation with PBE was carried out for a relaxed CaAcEuHg crystal.

## Properties
SG: F-43m (216)
Formation energy from the elements in meV per atom: -101.8

Geometry as CIF:
```
data_CaAcEuHg
_space_group_name_H-M_alt 'P 1'
_space_group_IT_number 1
_cell_length_a 5.849
_cell_length_b 5.849
_cell_length_c 5.849
_cell_angle_alpha 60.00
_cell_angle_beta 60.00
_cell_angle_gamma 60.00
loop_
_space_group_symop_operation_xyz
'x,y,z'
loop_
_atom_site_label
_atom_site_fract_x
_atom_site_fract_y
_atom_site_fract_z
Ca1 0.000 0.000 0.000
Ac1 0.250 0.250 0.250
Eu1 0.750 0.750 0.750
Hg1 0.500 0.500 0.500
```

---

No. 10
A plane-wave DFT calculation with PBE was carried out for a relaxed Tb4ErZr crystal.

## Properties
SG: P-1 (2)
Formation energy from the elements in meV per atom: 65.2

Geometry as CIF:
```
data_Tb4ErZr
_space_group_name_H-M_alt 'P 1'
_space_group_IT_number 1
_cell_length_a 6.047
_cell_length_b 6.943
_cell_length_c 9.214
_cell_angle_alpha 79.01
_cell_angle_beta 77.13
_cell_angle_gamma 73.30
loop_
_space_group_symop_operation_xyz
'x,y,z'
loop_
_atom_site_label
_atom_site_fract_x
_atom_site_fract_y
_atom_site_fract_z
Tb1 0.003 0.419 0.320
Tb2 0.004 0.920 0.319
Tb3 0.486 0.419 0.839
Tb4 0.486 0.918 0.840
Tb5 0.514 0.082 0.160
Tb6 0.514 0.581 0.161
Tb7 0.996 0.080 0.681
Tb8 0.997 0.581 0.680
Er1 0.499 0.751 0.500
Er2 0.501 0.249 0.500
Zr1 0.001 0.255 0.000
Zr2 0.999 0.745 0.000
```

---

No. 11
A plane-wave DFT calculation with PBE was carried out for a relaxed Mn3MoC crystal.

## Properties
SG: Pm-3m (221)
Excess energy over the best structure of this formula in the dataset in kJ/mol of atoms: 239.9
Formation energy from the elements in meV per atom: 2490.8

Geometry as CIF:
```
data_Mn3MoC
_space_group_name_H-M_alt 'P 1'
_space_group_IT_number 1
_cell_length_a 4.590
_cell_length_b 4.590
_cell_length_c 4.590
_cell_angle_alpha 90.00
_cell_angle_beta 90.00
_cell_angle_gamma 90.00
loop_
_space_group_symop_operation_xyz
'x,y,z'
loop_
_atom_site_label
_atom_site_fract_x
_atom_site_fract_y
_atom_site_fract_z
Mn1 0.000 0.000 0.500
Mn2 0.000 0.500 0.000
Mn3 0.500 0.000 0.000
Mo1 0.000 0.000 0.000
C1 0.500 0.500 0.500
```

---

The records above yield total DFT energy (no corrections) values of -9.6, -90.2, -17.3, -40.3, -7.1, -35.2, -38.4, -13.3, -17.1, -62.5, -35.1 eV per cell, respectively.